# 1
A plane-wave DFT calculation with PBE was carried out for crystalline KSm2Sc3Se6 at its relaxed geometry.

a = 3.991 Å, b = 8.311 Å, c = 9.151 Å
α = 104.45°, β = 102.60°, γ = 90.00°
Fractional coordinates of all 12 atoms:
1 Se 0.997 0.276 0.993
2 Se 0.676 0.072 0.353
3 Se 0.324 0.928 0.647
4 Se 0.660 0.595 0.320
5 Se 0.340 0.405 0.680
6 Se 0.003 0.724 0.007
7 Sc 0.835 0.180 0.670
8 Sc 0.500 0.500 0.000
9 Sc 0.165 0.820 0.330
10 K 0.500 0.000 0.000
11 Sm 0.830 0.657 0.659
12 Sm 0.170 0.343 0.341

Computed properties:
Symmetry: No. 12
V, Å³ per atom: 23.87
DOS at the Fermi energy, states/eV/cell: 4.47
ΔE_f (raw), eV/atom: -1.649
Total magnetic moment, Bohr magnetons per cell: 0.00

=====

# 2
A plane-wave DFT calculation with PBE was carried out for crystalline LiLuSbIr at its relaxed geometry.

a = 4.657 Å, b = 4.657 Å, c = 4.657 Å
α = 60.00°, β = 60.00°, γ = 60.00°
Fractional coordinates of all 4 atoms:
1 Sb 0.250 0.250 0.250
2 Ir 0.500 0.500 0.500
3 Lu 0.750 0.750 0.750
4 Li 0.000 0.000 0.000

Computed properties:
Symmetry: No. 216
V, Å³ per atom: 17.86
DOS at the Fermi energy, states/eV/cell: 0.59
ΔE_f (raw), eV/atom: -0.755
Total magnetic moment, Bohr magnetons per cell: 0.00

=====

# 3
A plane-wave DFT calculation with PBE was carried out for crystalline Sm6Te3Pb2S at its relaxed geometry.

a = 4.406 Å, b = 8.867 Å, c = 9.892 Å
α = 103.62°, β = 102.87°, γ = 90.00°
Fractional coordinates of all 12 atoms:
1 Te 0.169 0.834 0.339
2 Te 0.831 0.166 0.661
3 Te 0.500 0.500 0.000
4 Sm 0.667 0.578 0.334
5 Sm 0.000 0.777 0.999
6 Sm 0.345 0.921 0.690
7 Sm 0.333 0.422 0.666
8 Sm 0.655 0.079 0.310
9 Sm 0.000 0.223 0.001
10 Pb 0.835 0.671 0.669
11 Pb 0.165 0.329 0.331
12 S 0.500 0.000 0.000

Computed properties:
Symmetry: No. 12
V, Å³ per atom: 30.47
DOS at the Fermi energy, states/eV/cell: 5.04
ΔE_f (raw), eV/atom: -1.217
Total magnetic moment, Bohr magnetons per cell: 0.00

=====

Question: Number 1 is which compound?
Answer: KSm2Sc3Se6

=====

Question: Number 2 is which compound?
Answer: LiLuSbIr